1.
Below is a geometry-optimized Pr6Tl3Pd structure, with properties calculated at the PBE level.

Cell lengths 9.493, 12.108, 5.452 Å; angles 90.00, 90.00, 90.00 degrees
Fractional coordinates of all 20 atoms:
Pr: 0.005 0.239 0.000
Pr: 0.159 0.082 0.500
Pr: 0.178 0.420 0.500
Pr: 0.322 0.920 0.000
Pr: 0.341 0.582 0.000
Pr: 0.495 0.739 0.500
Pr: 0.505 0.261 0.500
Pr: 0.659 0.418 0.000
Pr: 0.678 0.080 0.000
Pr: 0.822 0.580 0.500
Pr: 0.841 0.918 0.500
Pr: 0.995 0.761 0.000
Tl: 0.000 0.500 0.000
Tl: 0.163 0.742 0.500
Tl: 0.337 0.242 0.000
Tl: 0.500 0.000 0.500
Tl: 0.663 0.758 0.000
Tl: 0.837 0.258 0.500
Pd: 0.000 0.000 0.000
Pd: 0.500 0.500 0.500

Total DFT energy (no corrections), eV/atom: -4.42
Symmetry: No. 58
Formation energy, eV/atom: -0.3232

2.
Below is a geometry-optimized PrTl2Pd9 structure, with properties calculated at the PBE level.

Cell lengths 4.144, 4.144, 12.349 Å; angles 90.00, 90.00, 90.00 degrees
Fractional coordinates of all 12 atoms:
Pr: 0.000 0.000 0.000
Tl: 0.000 0.000 0.340
Tl: 0.000 0.000 0.660
Pd: 0.000 0.500 0.175
Pd: 0.000 0.500 0.500
Pd: 0.000 0.500 0.825
Pd: 0.500 0.000 0.175
Pd: 0.500 0.000 0.500
Pd: 0.500 0.000 0.825
Pd: 0.500 0.500 0.000
Pd: 0.500 0.500 0.335
Pd: 0.500 0.500 0.665

Total DFT energy (no corrections), eV/atom: -5.06
Symmetry: No. 123
Formation energy, eV/atom: -0.3731

3.
Below is a geometry-optimized Pr2TlPd9 structure, with properties calculated at the PBE level.

Cell lengths 4.203, 4.203, 12.397 Å; angles 90.00, 90.00, 90.00 degrees
Fractional coordinates of all 12 atoms:
Pr: 0.000 0.000 0.172
Pr: 0.000 0.000 0.828
Tl: 0.000 0.000 0.500
Pd: 0.000 0.500 0.000
Pd: 0.000 0.500 0.341
Pd: 0.000 0.500 0.659
Pd: 0.500 0.000 0.000
Pd: 0.500 0.000 0.341
Pd: 0.500 0.000 0.659
Pd: 0.500 0.500 0.170
Pd: 0.500 0.500 0.500
Pd: 0.500 0.500 0.830

Total DFT energy (no corrections), eV/atom: -5.45
Symmetry: No. 123
Formation energy, eV/atom: -0.5619
Offset from the most stable computed form, eV/atom: 0.000

4.
Below is a geometry-optimized Pr8TlPd2 structure, with properties calculated at the PBE level.

Cell lengths 8.384, 8.384, 5.685 Å; angles 98.34, 98.34, 114.92 degrees
Fractional coordinates of all 11 atoms:
Pr: 0.080 0.325 0.574
Pr: 0.244 0.756 0.000
Pr: 0.325 0.080 0.574
Pr: 0.392 0.392 0.190
Pr: 0.608 0.608 0.810
Pr: 0.675 0.920 0.426
Pr: 0.756 0.244 0.000
Pr: 0.920 0.675 0.426
Tl: 0.000 0.000 0.000
Pd: 0.305 0.695 0.500
Pd: 0.695 0.305 0.500

Total DFT energy (no corrections), eV/atom: -4.89
Symmetry: No. 12
Formation energy, eV/atom: -0.2555
Offset from the most stable computed form, eV/atom: 0.070

5.
Below is a geometry-optimized PrTlPd structure, with properties calculated at the PBE level.

Cell lengths 4.832, 4.832, 3.709 Å; angles 90.00, 90.00, 120.00 degrees
Fractional coordinates of all 3 atoms:
Pr: 0.000 0.000 0.000
Tl: 0.667 0.333 0.500
Pd: 0.333 0.667 0.500

Total DFT energy (no corrections), eV/atom: -4.66
Symmetry: No. 187
Formation energy, eV/atom: -0.5438
Offset from the most stable computed form, eV/atom: 0.075

6.
Below is a geometry-optimized PrYTlPd structure, with properties calculated at the PBE level.

Cell lengths 5.289, 5.289, 5.289 Å; angles 60.00, 60.00, 60.00 degrees
Fractional coordinates of all 4 atoms:
Pr: 0.000 0.000 0.000
Y: 0.500 0.500 0.500
Tl: 0.750 0.750 0.750
Pd: 0.250 0.250 0.250

Total DFT energy (no corrections), eV/atom: -5.21
Symmetry: No. 216
Formation energy, eV/atom: -0.5051

7.
Below is a geometry-optimized PrTlZnPd structure, with properties calculated at the PBE level.

Cell lengths 4.980, 4.980, 4.980 Å; angles 60.00, 60.00, 60.00 degrees
Fractional coordinates of all 4 atoms:
Pr: 0.000 0.000 0.000
Tl: 0.500 0.500 0.500
Zn: 0.750 0.750 0.750
Pd: 0.250 0.250 0.250

Total DFT energy (no corrections), eV/atom: -3.82
Symmetry: No. 216
Formation energy, eV/atom: -0.4184

8.
Below is a geometry-optimized Pr2TlZn2Pd5 structure, with properties calculated at the PBE level.

Cell lengths 9.966, 9.966, 3.894 Å; angles 90.00, 90.00, 90.00 degrees
Fractional coordinates of all 20 atoms:
Pr: 0.179 0.321 0.000
Pr: 0.321 0.821 0.000
Pr: 0.679 0.179 0.000
Pr: 0.821 0.679 0.000
Tl: 0.000 0.000 0.000
Tl: 0.500 0.500 0.000
Zn: 0.117 0.617 0.000
Zn: 0.383 0.117 0.000
Zn: 0.617 0.883 0.000
Zn: 0.883 0.383 0.000
Pd: 0.000 0.500 0.500
Pd: 0.066 0.786 0.500
Pd: 0.214 0.066 0.500
Pd: 0.286 0.566 0.500
Pd: 0.434 0.286 0.500
Pd: 0.500 0.000 0.500
Pd: 0.566 0.714 0.500
Pd: 0.714 0.434 0.500
Pd: 0.786 0.934 0.500
Pd: 0.934 0.214 0.500

Total DFT energy (no corrections), eV/atom: -4.64
Symmetry: No. 127
Formation energy, eV/atom: -0.5921